Crystalline SrAg2PdF8 at its relaxed geometry, computed with PBE-GGA.

a = 5.521 Å, b = 5.521 Å, c = 6.860 Å
α = 90.00°, β = 90.00°, γ = 120.00°
Fractional coordinates of all 12 atoms:
F1 0.838 0.677 0.822
F2 0.667 0.333 0.449
F3 0.838 0.162 0.822
F4 0.323 0.162 0.822
F5 0.677 0.838 0.178
F6 0.162 0.838 0.178
F7 0.333 0.667 0.551
F8 0.162 0.323 0.178
Ag1 0.667 0.333 0.135
Ag2 0.333 0.667 0.865
Sr1 0.000 0.000 0.500
Pd1 0.000 0.000 0.000

Summary:
The value obtained for the uncorrected energy is -4.00 eV per atom. Its mass density is 5.2 Mg/m³. The calculation puts the total magnetization at 0.00 Bohr magnetons per cell. The symmetry is P-3m1, No. 164.